# Tm6CoBi2

A geometry-optimized Tm6CoBi2 structure (PBE, the Alexandria database).

Cell: 6.6545 6.6545 13.8147 Å, 90.00 90.00 90.00°
Last column: magnetic moment on the atom in μB.
Sites, in units of the cell vectors:
Tm: 0.7214 0.7214 0.0000  0.07
Tm: 0.6811 0.6811 0.6337  0.07
Tm: 0.7786 0.2214 0.5000  0.07
Tm: 0.8189 0.1811 0.1337  0.07
Tm: 0.6811 0.6811 0.3663  0.07
Tm: 0.2786 0.2786 0.0000  0.07
Tm: 0.8189 0.1811 0.8663  0.07
Tm: 0.1811 0.8189 0.1337  0.07
Tm: 0.1811 0.8189 0.8663  0.07
Tm: 0.2214 0.7786 0.5000  0.07
Tm: 0.3189 0.3189 0.6337  0.07
Tm: 0.3189 0.3189 0.3663  0.07
Bi: 0.0000 0.0000 0.6758  0.00
Bi: 0.0000 0.0000 0.3242  0.00
Bi: 0.5000 0.5000 0.8242  0.00
Bi: 0.5000 0.5000 0.1758  0.00
Co: 0.5000 0.5000 0.5000  0.00
Co: 0.0000 0.0000 0.0000  0.00

The total energy is -4.774 eV per atom. Its crystal system is tetragonal.

=====

# Tm5CoBi

A geometry-optimized Tm5CoBi structure (PBE, the Alexandria database).

Cell: 7.2380 7.2380 9.3167 Å, 75.10 75.10 71.60°
Sites, in units of the cell vectors:
Tm: 0.1023 0.3269 0.8555
Tm: 0.6731 0.8977 0.6445
Tm: 0.8977 0.6731 0.1445
Tm: 0.6366 0.1750 0.9718
Tm: 0.3634 0.8250 0.0282
Tm: 0.9046 0.0954 0.2500
Tm: 0.3269 0.1023 0.3555
Tm: 0.8250 0.3634 0.5282
Tm: 0.1750 0.6366 0.4718
Tm: 0.0954 0.9046 0.7500
Co: 0.0000 0.0000 0.0000
Co: 0.0000 0.0000 0.5000
Bi: 0.5464 0.4536 0.2500
Bi: 0.4536 0.5464 0.7500

The total energy is -4.856 eV per atom. Its crystal system is monoclinic.